1.
A crystal of SrTcN3 relaxed with PBEsol, computed with meta-GGA SCAN.

Properties
- formation energy (no corrections) (eV per atom) = -0.588
- N(E_F) (states/eV/atom) = 0.0000
- V (Å³/atom) = 16.2

a = 10.7340 Å, b = 10.3506 Å, c = 6.0687 Å
α = 90.00°, β = 105.64°, γ = 90.00°
Last column: nearest neighbours and their distance in Å.
Space group C2/c (No. 15)
Symmetry-distinct sites (fractional):
Sr 0.0000 0.0914 0.2500  6 N 2.49-2.60
Sr 0.0000 0.3272 0.7500  6 N 2.62-2.81
Tc 0.2112 0.4124 0.2564  4 N 1.71-1.90
N 0.1223 0.1113 0.6661  1 Tc 1.74
N 0.1363 0.2693 0.1647  1 Tc 1.71
N 0.1543 0.4761 0.5056  2 Tc 1.88-1.90

2.
A crystal of RbP2Ir relaxed with PBEsol, computed with meta-GGA SCAN.

Properties
- N(E_F) (states/eV/atom) = 0.3145
- energy of formation (eV/f.u.) = 3.17
- V (Å³/atom) = 17.1

a = 6.4910 Å, b = 6.4910 Å, c = 6.4910 Å
α = 90.00°, β = 90.00°, γ = 90.00°
Last column: nearest neighbours and their distance in Å.
Space group Fm-3m (No. 225)
Symmetry-distinct sites (fractional):
Rb 0.0000 0.0000 0.0000  8 P 2.81
P 0.2500 0.2500 0.2500  4 Rb 2.81, 4 Ir 2.81
Ir 0.0000 0.0000 0.5000  8 P 2.81